This record from Alexandria via LeMat-Bulk describes an optimized crystal structure of KSi3. The functional is GGA-PBE.

Lattice parameters (Å, degrees): 4.859 4.859 4.859 60.00 60.00 60.00
Element x y z (fractional)
K: 0.000 0.000 0.000
Si: 0.250 0.250 0.250
Si: 0.500 0.500 0.500
Si: 0.750 0.750 0.750

size of the total moment: 0.0 μB per cell
space group: No. 225
energy above the most stable polymorph in this dataset: 664 meV/atom

This record from Alexandria via LeMat-Bulk describes an optimized crystal structure of K2Si. The functional is GGA-PBE.

Lattice parameters (Å, degrees): 6.514 6.514 11.546 90.00 90.00 120.00
Element x y z (fractional)
K: 0.000 0.000 0.000
K: 0.000 0.000 0.500
K: 0.176 0.352 0.250
K: 0.176 0.824 0.250
K: 0.352 0.176 0.750
K: 0.648 0.824 0.250
K: 0.824 0.176 0.750
K: 0.824 0.648 0.750
Si: 0.333 0.667 0.523
Si: 0.333 0.667 0.977
Si: 0.667 0.333 0.023
Si: 0.667 0.333 0.477

size of the total moment: 0.0 μB per cell
space group: No. 194
energy above the most stable polymorph in this dataset: 726 meV/atom

This record from Alexandria via LeMat-Bulk describes an optimized crystal structure of KSi2. The functional is GGA-PBE.

Lattice parameters (Å, degrees): 6.581 6.581 6.581 150.45 150.45 42.28
Element x y z (fractional)
K: 0.000 0.000 0.000
Si: 0.290 0.290 0.000
Si: 0.710 0.710 0.000

size of the total moment: 0.0 μB per cell
space group: No. 139
energy above the most stable polymorph in this dataset: 257 meV/atom

This record from Alexandria via LeMat-Bulk describes an optimized crystal structure of KSi3. The functional is GGA-PBE.

Lattice parameters (Å, degrees): 4.306 4.306 4.306 90.00 90.00 90.00
Element x y z (fractional)
K: 0.000 0.000 0.000
Si: 0.000 0.500 0.500
Si: 0.500 0.000 0.500
Si: 0.500 0.500 0.000

size of the total moment: 0.0 μB per cell
space group: No. 221
energy above the most stable polymorph in this dataset: 615 meV/atom

This record from Alexandria via LeMat-Bulk describes an optimized crystal structure of KSi3. The functional is GGA-PBE.

Lattice parameters (Å, degrees): 5.284 5.284 5.284 131.80 131.80 70.54
Element x y z (fractional)
K: 0.000 0.000 0.000
Si: 0.250 0.750 0.500
Si: 0.500 0.500 0.000
Si: 0.750 0.250 0.500

size of the total moment: 0.0 μB per cell
space group: No. 139
energy above the most stable polymorph in this dataset: 632 meV/atom

This record from Alexandria via LeMat-Bulk describes an optimized crystal structure of K2Si. The functional is GGA-PBE.

Lattice parameters (Å, degrees): 5.009 6.394 10.024 92.24 90.83 112.86
Element x y z (fractional)
K: 0.140 0.261 0.343
K: 0.146 0.299 0.886
K: 0.854 0.701 0.114
K: 0.860 0.739 0.657
Si: 0.446 0.898 0.905
Si: 0.554 0.102 0.095

size of the total moment: 0.0 μB per cell
space group: No. 2
energy above the most stable polymorph in this dataset: 90 meV/atom

This record from Alexandria via LeMat-Bulk describes an optimized crystal structure of KSi3. The functional is GGA-PBE.

Lattice parameters (Å, degrees): 3.613 3.701 6.911 90.00 90.00 90.00
Element x y z (fractional)
K: 0.000 0.000 0.000
Si: 0.000 0.500 0.423
Si: 0.500 0.000 0.430
Si: 0.500 0.500 0.674

size of the total moment: 0.0 μB per cell
space group: No. 25
energy above the most stable polymorph in this dataset: 0 meV/atom

This record from Alexandria via LeMat-Bulk describes an optimized crystal structure of K2Si. The functional is GGA-PBE.

Lattice parameters (Å, degrees): 4.910 7.298 8.679 85.71 77.59 89.74
Element x y z (fractional)
K: 0.000 0.000 0.000
K: 0.065 0.517 0.831
K: 0.362 0.970 0.393
K: 0.868 0.469 0.344
Si: 0.463 0.643 0.095
Si: 0.465 0.341 0.092

size of the total moment: 0.0 μB per cell
space group: No. 1
energy above the most stable polymorph in this dataset: 107 meV/atom

This record from Alexandria via LeMat-Bulk describes an optimized crystal structure of KSi4. The functional is GGA-PBE.

Lattice parameters (Å, degrees): 5.295 5.295 5.295 90.00 90.00 90.00
Element x y z (fractional)
K: 0.000 0.000 0.000
Si: 0.000 0.000 0.500
Si: 0.000 0.500 0.000
Si: 0.500 0.000 0.000
Si: 0.500 0.500 0.500

size of the total moment: 0.0 μB per cell
space group: No. 221
energy above the most stable polymorph in this dataset: 2009 meV/atom

This record from Alexandria via LeMat-Bulk describes an optimized crystal structure of K2Si3. The functional is GGA-PBE.

Lattice parameters (Å, degrees): 8.025 6.213 8.908 61.07 42.66 76.28
Element x y z (fractional)
K: 0.102 0.898 0.276
K: 0.526 0.974 0.352
K: 0.898 0.102 0.724
K: 0.974 0.526 0.148
Si: 0.278 0.278 0.722
Si: 0.449 0.543 0.298
Si: 0.528 0.528 0.972
Si: 0.540 0.952 0.707
Si: 0.543 0.449 0.710
Si: 0.952 0.540 0.801

size of the total moment: 0.0 μB per cell
energy: -3.45 eV per atom
space group: No. 43

Q: Which value of size of the total moment does entry 10 give?
A: 0.0 μB per cell